Material: YCd2In3
Method: DFT, PBE
State: optimized geometry

```
6
Lattice="4.561 0.000 0.000 0.000 4.368 -1.477 0.000 0.051 7.348" Properties=species:S:1:pos:R:3 pbc="T T T"
Y 0.000 0.000 0.000
Cd 0.000 2.950 1.528
Cd 0.000 1.468 4.343
In 2.281 0.759 2.246
In 2.281 2.184 -0.738
In 2.281 3.659 3.625
```

Summary:
total moment: 0.000 μB/atom
ΔH_f (0 K): -0.235 eV/atom



Material: Li2Nd2SmIn2
Method: DFT, PBE
State: optimized geometry

```
7
Lattice="4.948 0.000 0.000 2.474 4.285 0.000 2.474 1.428 8.907" Properties=species:S:1:pos:R:3 pbc="T T T"
Li 4.948 2.856 1.574
Li 4.948 2.856 7.333
Nd 2.474 1.428 5.501
Nd 7.421 4.285 3.406
Sm 0.000 0.000 0.000
In 7.421 4.285 7.074
In 2.474 1.428 1.833
```

Summary:
total moment: 0.000 μB/atom
ΔH_f (0 K): -0.250 eV/atom



Material: Pa2InS5
Method: DFT, PBE
State: optimized geometry

```
16
Lattice="3.795 0.000 0.000 0.000 7.545 0.000 0.000 0.000 11.783" Properties=species:S:1:pos:R:3 pbc="T T T"
Pa 1.897 3.928 2.046
Pa 1.897 3.617 9.736
Pa 1.897 7.390 7.938
Pa 1.897 0.155 3.845
In 0.000 3.772 5.891
In 0.000 0.000 0.000
S 0.000 0.000 5.891
S 0.000 3.772 0.000
S 0.000 6.135 2.329
S 0.000 1.410 9.454
S 0.000 5.183 8.220
S 0.000 2.362 3.563
S 1.897 5.034 4.650
S 1.897 2.511 7.132
S 1.897 6.284 10.542
S 1.897 1.261 1.241
```

Summary:
formation energy (no corrections): -1.28 eV per atom
total moment: 0.220 μB/atom



Material: GdBiPd
Method: DFT, PBE
State: optimized geometry

```
3
Lattice="4.787 0.000 0.000 2.394 4.146 0.000 2.394 1.382 3.909" Properties=species:S:1:pos:R:3 pbc="T T T"
Gd 4.787 2.764 1.954
Bi 0.000 0.000 0.000
Pd 7.181 4.146 2.932
```

Summary:
total moment: 2.333 μB/atom
ΔH_f (0 K): -0.935 eV/atom



Material: NbCoIN2
Method: DFT, PBE
State: optimized geometry

```
5
Lattice="-3.800 -0.212 1.232 0.680 -3.658 1.470 1.578 2.415 5.280" Properties=species:S:1:pos:R:3 pbc="T T T"
I 0.789 1.208 2.640
Nb 0.000 0.000 0.000
Co -0.771 -0.727 3.991
N 0.340 -1.829 0.735
N -1.900 -0.106 0.616
```

Summary:
formation energy (no corrections): 0.77 eV per atom
total moment: 0.484 μB/atom
energy above the lowest structure with this stoichiometry: 0.0000 eV/atom



Material: Pm2Dy2Tl3
Method: DFT, PBE
State: optimized geometry

```
7
Lattice="3.741 0.381 0.602 -0.943 8.632 0.374 0.978 -0.645 6.368" Properties=species:S:1:pos:R:3 pbc="T T T"
Pm 2.422 7.152 4.491
Pm 1.354 1.217 2.852
Dy 2.692 2.125 6.005
Dy 1.084 6.244 1.338
Tl 0.000 0.000 0.000
Tl 3.048 4.057 2.569
Tl 0.727 4.312 4.775
```

Summary:
total moment: 0.075 μB/atom
energy above the lowest structure with this stoichiometry: 0.0000 eV/atom
ΔH_f (0 K): -0.251 eV/atom



The highest total moment belongs to which entry? GdBiPd



Repeat the sixth record exactly.
Material: Pm2Dy2Tl3
Method: DFT, PBE
State: optimized geometry

```
7
Lattice="3.741 0.381 0.602 -0.943 8.632 0.374 0.978 -0.645 6.368" Properties=species:S:1:pos:R:3 pbc="T T T"
Pm 2.422 7.152 4.491
Pm 1.354 1.217 2.852
Dy 2.692 2.125 6.005
Dy 1.084 6.244 1.338
Tl 0.000 0.000 0.000
Tl 3.048 4.057 2.569
Tl 0.727 4.312 4.775
```

Summary:
total moment: 0.075 μB/atom
energy above the lowest structure with this stoichiometry: 0.0000 eV/atom
ΔH_f (0 K): -0.251 eV/atom



Look up the total moment of the sixth one. 0.075 μB/atom



Which formula does entry 5 have? NbCoIN2